[1]
The following is a DFT calculation (PBE) of an optimized crystal structure of Tm2Zn2Fe15.

## Properties
Raw total energy (eV per atom): -7.317
Calculated formation energy (eV per atom): -0.03
Magnetic moment (μB per atom): 1.51

a = 8.3966 Å, b = 8.3966 Å, c = 12.2811 Å
α = 90.00°, β = 90.00°, γ = 120.00°
Last column: nearest neighbours and their distance in Å.
Space group R-3m (No. 166, hexagonal axes)
Symmetry-distinct sites (fractional):
1 Tm 0.0000 0.0000 0.1550 [6 per cell]  15 Fe 2.90-3.22, 1 Zn 3.01
2 Zn 0.0000 0.0000 0.4004 [6 per cell]  1 Zn 2.45, 6 Fe 2.56-2.59
3 Fe 0.0000 0.3115 0.5000 [18 per cell]  8 Fe 2.43-2.62
4 Fe 0.0000 0.5000 0.0000 [9 per cell]  8 Fe 2.43, 2 Zn 2.56
5 Fe 0.0011 0.5006 0.6605 [18 per cell]  8 Fe 2.42-2.53, 1 Zn 2.59

---

[2]
The following is a DFT calculation (PBE) of an optimized crystal structure of V2HBr8.

## Properties
Raw total energy (eV per atom): -3.698
Magnetic moment (μB per atom): 0.27

a = 12.6702 Å, b = 9.3287 Å, c = 7.5027 Å
α = 90.00°, β = 94.60°, γ = 90.00°
Last column: nearest neighbours and their distance in Å.
Space group C2/m (No. 12)
Symmetry-distinct sites (fractional):
1 V 0.2010 0.0000 0.3124 [4 per cell]  4 Br 2.31-2.32
2 H 0.0000 0.0000 0.0000 [2 per cell]  4 Br 2.46
3 Br 0.1083 0.1843 0.1621 [8 per cell]  1 V 2.32, 1 H 2.46
4 Br 0.1219 0.5000 0.7383 [4 per cell]  1 V 2.31
5 Br 0.1780 0.0000 0.6142 [4 per cell]  1 V 2.31

---

[3]
The following is a DFT calculation (PBE) of an optimized crystal structure of Ca2CuB2H12O12.

## Properties
Raw total energy (eV per atom): -5.738
Magnetic moment (μB per atom): 0.03

a = 5.7363 Å, b = 5.7610 Å, c = 8.1634 Å
α = 83.22°, β = 70.49°, γ = 89.58°
Last column: nearest neighbours and their distance in Å.
Space group P-1 (No. 2)
Symmetry-distinct sites (fractional):
1 Ca 0.2229 0.4965 0.2621 [2 per cell]  7 O 2.40-2.50
2 Cu 0.0000 0.0000 0.5000 [1 per cell]  4 O 1.96-1.97
3 B 0.2462 0.2827 0.9098 [2 per cell]  4 O 1.48-1.50
4 H 0.0398 0.0493 0.1303 [2 per cell]  1 O 1.00
5 H 0.1905 0.6348 0.8800 [2 per cell]  1 O 0.99
6 H 0.2027 0.2230 0.6766 [2 per cell]  1 O 1.00
7 H 0.3013 0.7109 0.5399 [2 per cell]  1 O 0.98
8 H 0.4382 0.0652 0.3985 [2 per cell]  1 O 0.98
9 H 0.4740 0.9962 0.8896 [2 per cell]  1 O 0.97
10 O 0.0936 0.2379 0.7989 [2 per cell]  1 H 1.00
11 O 0.0948 0.2171 0.0964 [2 per cell]  1 H 1.00
12 O 0.1454 0.6939 0.5179 [2 per cell]  1 H 0.98
13 O 0.3145 0.1772 0.4496 [2 per cell]  1 H 0.98
14 O 0.3245 0.5313 0.8913 [2 per cell]  1 H 0.99
15 O 0.4844 0.1640 0.8540 [2 per cell]  1 H 0.97

---

[4]
The following is a DFT calculation (PBE) of an optimized crystal structure of La2Sm4Er3.

## Properties
Raw total energy (eV per atom): -4.635
Calculated formation energy (eV per atom): 0.08
Magnetic moment (μB per atom): 0.00

a = 19.9301 Å, b = 3.5558 Å, c = 8.7314 Å
α = 90.00°, β = 99.25°, γ = 90.00°
Last column: nearest neighbours and their distance in Å.
Space group C2/m (No. 12)
Symmetry-distinct sites (fractional):
1 La 0.1666 0.0000 0.0421 [4 per cell]  4 La 3.56-3.94, 4 Sm 3.60-3.78, 4 Er 3.69-3.73
2 Sm 0.0484 0.0000 0.6842 [4 per cell]  4 Sm 3.47-3.56, 6 Er 3.51-3.65, 1 La 3.60
3 Sm 0.2200 0.0000 0.6462 [4 per cell]  5 Sm 3.48-3.56, 3 Er 3.50-3.56, 3 La 3.70-3.78
4 Er 0.0000 0.5000 0.0000 [2 per cell]  4 Er 3.51-3.56, 4 Sm 3.54, 4 La 3.73
5 Er 0.1051 0.5000 0.3633 [4 per cell]  7 Sm 3.50-3.65, 3 Er 3.51-3.56, 2 La 3.69

---

[5]
The following is a DFT calculation (PBE) of an optimized crystal structure of Ta3SiS.

## Properties
Raw total energy (eV per atom): -8.536
Polymorph energy (0 for the lowest one) (meV/atom): 0.0
Energy relative to the elements, uncorrected (meV per atom): 486
Magnetic moment (μB per atom): 0.00

a = 4.5170 Å, b = 4.5170 Å, c = 4.5170 Å
α = 90.00°, β = 90.00°, γ = 90.00°
Last column: nearest neighbours and their distance in Å.
Space group Pm-3m (No. 221)
Symmetry-distinct sites (fractional):
1 Ta 0.0000 0.0000 0.5000 [3 per cell]  2 S 2.26
2 Si 0.5000 0.5000 0.5000 [1 per cell]  12 Ta 3.19
3 S 0.0000 0.0000 0.0000 [1 per cell]  6 Ta 2.26

---

[6]
The following is a DFT calculation (PBE) of an optimized crystal structure of UAgOsO6.

## Properties
Raw total energy (eV per atom): -7.800
Energy relative to the elements, uncorrected (meV per atom): -1676
Magnetic moment (μB per atom): 0.25

a = 5.4479 Å, b = 5.4479 Å, c = 9.9902 Å
α = 90.00°, β = 90.00°, γ = 120.00°
Last column: nearest neighbours and their distance in Å.
Space group P-31c (No. 163)
Symmetry-distinct sites (fractional):
1 U 0.3333 0.6667 0.2500 [2 per cell]  6 O 2.11
2 Ag 0.0000 0.0000 0.0000 [2 per cell]  6 O 2.44
3 Os 0.3333 0.6667 0.7500 [2 per cell]  6 O 1.98
4 O 0.0174 0.3716 0.6424 [12 per cell]  1 Os 1.98, 1 U 2.11

---

The highest magnetic moment belongs to which entry? Tm2Zn2Fe15